No. 1
AcH2Rh2Pb | GGA-PBE | relaxed

Values from the calculation:
Final energy ... -5.2487 eV/atom
DOS at the Fermi energy ... 3.1 states/eV per cell

```
data_AcH2Rh2Pb
_chemical_formula_sum 'Ac2 H4 Rh4 Pb2'
_symmetry_space_group_name_H-M 'P 1 21/m 1'
_symmetry_Int_Tables_number 11
_cell_length_a 4.9605
_cell_length_b 5.8421
_cell_length_c 7.4835
_cell_angle_alpha 90.00
_cell_angle_beta 99.43
_cell_angle_gamma 90.00
loop_
_symmetry_equiv_pos_as_xyz
'x,y,z'
'-x,-y,-z'
'-x,y+1/2,-z'
'x,-y+1/2,z'
loop_
_atom_site_label
_atom_site_fract_x
_atom_site_fract_y
_atom_site_fract_z
_atom_site_occupancy
Ac1 0.2392 0.2500 0.3727 1
H1 0.1413 0.2500 0.6835 1
H2 0.2727 0.7500 0.6668 1
Rh1 0.2923 0.0104 0.7933 1
Pb1 0.2080 0.7500 0.0928 1
```



No. 2
KAc2Ga | GGA-PBE | relaxed

Values from the calculation:
Energy above the most stable polymorph in this dataset ... 62 meV/atom
DOS at the Fermi energy ... 13.7 states/eV per cell
Formation enthalpy at 0 K ... -0.02 eV per atom

```
data_KAc2Ga
_chemical_formula_sum 'K3 Ac6 Ga3'
_symmetry_space_group_name_H-M 'R -3 m'
_symmetry_Int_Tables_number 166
_symmetry_space_group_name_Hall '-R 3 2"'
_cell_length_a 4.0747
_cell_length_b 4.0747
_cell_length_c 38.3202
_cell_angle_alpha 90.00
_cell_angle_beta 90.00
_cell_angle_gamma 120.00
loop_
_atom_site_label
_atom_site_fract_x
_atom_site_fract_y
_atom_site_fract_z
_atom_site_occupancy
K1 0.0000 0.0000 0.0000 1
Ac1 0.0000 0.0000 0.1099 1
Ga1 0.0000 0.0000 0.5000 1
```